VASP calculation (PBEsol) on a relaxed CsCr3W crystal.

The structure in POSCAR format:
```
CsCr3W
1.0
-0.203 -0.819 -4.599
4.166 -2.114 0.193
-2.113 -4.089 0.821
Cs Cr W
1 3 1
Cartesian
0.000 0.000 0.000
2.083 -1.057 0.097
-1.056 -2.045 0.411
-0.101 -0.410 -2.299
0.925 -3.511 -1.792
```

Computed properties:
Its crystal system is cubic. The formation energy comes out at 3.3224 eV per atom. For the volume, the calculation gives 102 Å³ per cell. For the total magnetization, the calculation gives 1.10 μB per atom.